[1]
A geometry-optimized Tl2In5Hg4 structure, computed with GGA-PBE.

ΔH_f (0 K) = 0.02 eV per atom
ΔE to the lowest computed polymorph = 0.0000 eV/atom
energy = -1.7599 eV/atom

Cell lengths 11.772, 6.639, 8.994 Å; angles 90.00, 118.37, 90.00 degrees
Space group C2/m (No. 12)
One atom of each set of equivalent atoms:
Tl (0.071, 0.000, 0.225) x4
In (0.000, 0.500, 0.000) x2
In (0.138, 0.240, 0.658) x8
Hg (0.140, 0.500, 0.376) x4
Hg (0.247, 0.000, 0.015) x4

[2]
A geometry-optimized YEr2Cd5 structure, computed with GGA-PBE.

ΔH_f (0 K) = -0.30 eV per atom
energy = -2.8228 eV/atom

Cell lengths 5.106, 5.106, 14.975 Å; angles 90.00, 90.00, 90.00 degrees
Space group I4/mmm (No. 139)
One atom of each set of equivalent atoms:
Y (0.000, 0.000, 0.000) x2
Er (0.000, 0.000, 0.260) x4
Cd (0.000, 0.000, 0.500) x2
Cd (0.000, 0.500, 0.122) x8

[3]
A geometry-optimized ThZn2Co2 structure, computed with GGA-PBE.

ΔH_f (0 K) = -0.09 eV per atom
ΔE to the lowest computed polymorph = 0.1149 eV/atom
energy = -4.9271 eV/atom

Cell lengths 5.583, 8.888, 13.631 Å; angles 90.00, 90.00, 90.00 degrees
Space group Fddd (No. 70, origin choice 2)
One atom of each set of equivalent atoms:
Th (0.125, 0.125, 0.125) x8
Zn (0.125, 0.125, 0.520) x16
Co (0.125, 0.351, 0.625) x16

Taking the records one at a time from the top gives total moment values of 0.000; 0.000; 0.001 μB per cell.